[1]
A plane-wave DFT calculation with meta-GGA SCAN was carried out for KP2Br at its PBEsol-relaxed geometry.

```
data_KP2Br
_cell_length_a 3.6546
_cell_length_b 3.6546
_cell_length_c 23.9408
_cell_angle_alpha 90.00
_cell_angle_beta 90.00
_cell_angle_gamma 120.00
_space_group_name_H-M_alt 'R 3 m'
_space_group_IT_number 160
_space_group_name_Hall 'R 3 -2"'
loop_
_atom_site_label
_atom_site_type_symbol
_atom_site_fract_x
_atom_site_fract_y
_atom_site_fract_z
K1 K 0.0000 0.0000 0.0000
P1 P 0.0000 0.0000 0.4857
P2 P 0.0000 0.0000 0.7717
Br1 Br 0.0000 0.0000 0.2408
```

* energy relative to the elements, uncorrected: -0.45 eV/atom
* VASP energy: -12.600 eV per atom
* energy above the most stable polymorph in this dataset: 0.002 eV/f.u.


[2]
A plane-wave DFT calculation with meta-GGA SCAN was carried out for K3PBr at its PBEsol-relaxed geometry.

```
data_K3PBr
_cell_length_a 5.935
_cell_length_b 5.935
_cell_length_c 5.935
_cell_angle_alpha 90.00
_cell_angle_beta 90.00
_cell_angle_gamma 90.00
_space_group_name_H-M_alt 'P m -3 m'
_space_group_IT_number 221
_space_group_name_Hall '-P 4 2 3'
loop_
_atom_site_label
_atom_site_type_symbol
_atom_site_fract_x
_atom_site_fract_y
_atom_site_fract_z
K1 K 0.000 0.000 0.500
P1 P 0.500 0.500 0.500
Br1 Br 0.000 0.000 0.000
```

* energy relative to the elements, uncorrected: -0.58 eV/atom
* VASP energy: -11.548 eV per atom


[3]
A plane-wave DFT calculation with meta-GGA SCAN was carried out for KP2Br at its PBEsol-relaxed geometry.

```
data_KP2Br
_cell_length_a 4.764
_cell_length_b 4.776
_cell_length_c 5.909
_cell_angle_alpha 90.00
_cell_angle_beta 90.00
_cell_angle_gamma 90.00
_space_group_name_H-M_alt 'P m m m'
_space_group_IT_number 47
loop_
_space_group_symop_operation_xyz
'x,y,z'
'-x,-y,-z'
'-x,-y,z'
'x,y,-z'
'x,-y,-z'
'-x,y,z'
'-x,y,-z'
'x,-y,z'
loop_
_atom_site_label
_atom_site_type_symbol
_atom_site_fract_x
_atom_site_fract_y
_atom_site_fract_z
K1 K 0.000 0.000 0.000
P1 P 0.500 0.500 0.164
Br1 Br 0.000 0.000 0.500
```

* energy relative to the elements, uncorrected: -0.34 eV/atom
* VASP energy: -12.488 eV per atom
* energy above the most stable polymorph in this dataset: 0.448 eV/f.u.


[4]
A plane-wave DFT calculation with meta-GGA SCAN was carried out for KPBr at its PBEsol-relaxed geometry.

```
data_KPBr
_cell_length_a 4.269
_cell_length_b 4.269
_cell_length_c 10.091
_cell_angle_alpha 90.00
_cell_angle_beta 90.00
_cell_angle_gamma 90.00
_space_group_name_H-M_alt 'I 4 m m'
_space_group_IT_number 107
_space_group_name_Hall 'I 4 -2'
loop_
_atom_site_label
_atom_site_type_symbol
_atom_site_fract_x
_atom_site_fract_y
_atom_site_fract_z
K1 K 0.000 0.000 0.000
P1 P 0.000 0.000 0.324
Br1 Br 0.000 0.000 0.659
```

* energy relative to the elements, uncorrected: -0.09 eV/atom
* VASP energy: -12.815 eV per atom


[5]
A plane-wave DFT calculation with meta-GGA SCAN was carried out for KP2Br at its PBEsol-relaxed geometry.

```
data_KP2Br
_cell_length_a 4.379
_cell_length_b 6.187
_cell_length_c 4.602
_cell_angle_alpha 90.00
_cell_angle_beta 90.62
_cell_angle_gamma 90.00
_space_group_name_H-M_alt 'P 1 2/m 1'
_space_group_IT_number 10
loop_
_space_group_symop_operation_xyz
'x,y,z'
'-x,-y,-z'
'-x,y,-z'
'x,-y,z'
loop_
_atom_site_label
_atom_site_type_symbol
_atom_site_fract_x
_atom_site_fract_y
_atom_site_fract_z
K1 K 0.000 0.000 0.000
P1 P 0.387 0.500 0.819
Br1 Br 0.500 0.000 0.500
```

* energy relative to the elements, uncorrected: -0.45 eV/atom
* VASP energy: -12.601 eV per atom
* energy above the most stable polymorph in this dataset: 0.000 eV/f.u.


[6]
A plane-wave DFT calculation with meta-GGA SCAN was carried out for KP2SBr at its PBEsol-relaxed geometry.

```
data_KP2SBr
_cell_length_a 5.030
_cell_length_b 5.030
_cell_length_c 5.059
_cell_angle_alpha 90.00
_cell_angle_beta 90.00
_cell_angle_gamma 90.00
_space_group_name_H-M_alt 'P 4/m m m'
_space_group_IT_number 123
_space_group_name_Hall '-P 4 2'
loop_
_atom_site_label
_atom_site_type_symbol
_atom_site_fract_x
_atom_site_fract_y
_atom_site_fract_z
K1 K 0.000 0.000 0.000
P1 P 0.000 0.500 0.500
S1 S 0.500 0.500 0.000
Br1 Br 0.500 0.500 0.500
```

* energy relative to the elements, uncorrected: 0.82 eV/atom
* VASP energy: -10.826 eV per atom


[7]
A plane-wave DFT calculation with meta-GGA SCAN was carried out for KTlP2Br at its PBEsol-relaxed geometry.

```
data_KTlP2Br
_cell_length_a 4.980
_cell_length_b 4.980
_cell_length_c 7.902
_cell_angle_alpha 90.00
_cell_angle_beta 90.00
_cell_angle_gamma 90.00
_space_group_name_H-M_alt 'P 4/m m m'
_space_group_IT_number 123
_space_group_name_Hall '-P 4 2'
loop_
_atom_site_label
_atom_site_type_symbol
_atom_site_fract_x
_atom_site_fract_y
_atom_site_fract_z
K1 K 0.000 0.000 0.000
Tl1 Tl 0.000 0.000 0.500
P1 P 0.000 0.500 0.500
Br1 Br 0.500 0.500 0.000
```

* energy relative to the elements, uncorrected: 0.37 eV/atom
* VASP energy: -23.814 eV per atom


[8]
A plane-wave DFT calculation with meta-GGA SCAN was carried out for K2PbBr at its PBEsol-relaxed geometry.

```
data_K2PbBr
_cell_length_a 3.508
_cell_length_b 6.236
_cell_length_c 6.338
_cell_angle_alpha 90.00
_cell_angle_beta 90.00
_cell_angle_gamma 90.00
_space_group_name_H-M_alt 'P m m 2'
_space_group_IT_number 25
loop_
_space_group_symop_operation_xyz
'x,y,z'
'-x,-y,z'
'-x,y,z'
'x,-y,z'
loop_
_atom_site_label
_atom_site_type_symbol
_atom_site_fract_x
_atom_site_fract_y
_atom_site_fract_z
K1 K 0.000 0.000 0.000
K2 K 0.000 0.500 0.465
Pb1 Pb 0.500 0.500 0.962
Br1 Br 0.500 0.000 0.456
```

* energy relative to the elements, uncorrected: -0.77 eV/atom
* VASP energy: -28.749 eV per atom
* energy above the most stable polymorph in this dataset: 0.532 eV/f.u.


[9]
A plane-wave DFT calculation with meta-GGA SCAN was carried out for K2PbBr at its PBEsol-relaxed geometry.

```
data_K2PbBr
_cell_length_a 8.471
_cell_length_b 8.471
_cell_length_c 8.471
_cell_angle_alpha 90.00
_cell_angle_beta 90.00
_cell_angle_gamma 90.00
_space_group_name_H-M_alt 'F m -3 m'
_space_group_IT_number 225
_space_group_name_Hall '-F 4 2 3'
loop_
_atom_site_label
_atom_site_type_symbol
_atom_site_fract_x
_atom_site_fract_y
_atom_site_fract_z
K1 K 0.250 0.250 0.250
Pb1 Pb 0.000 0.000 0.000
Br1 Br 0.000 0.000 0.500
```

* energy relative to the elements, uncorrected: -0.64 eV/atom
* VASP energy: -28.616 eV per atom
* energy above the most stable polymorph in this dataset: 1.065 eV/f.u.


[10]
A plane-wave DFT calculation with meta-GGA SCAN was carried out for KPbBr2 at its PBEsol-relaxed geometry.

```
data_KPbBr2
_cell_length_a 7.767
_cell_length_b 7.767
_cell_length_c 7.767
_cell_angle_alpha 90.00
_cell_angle_beta 90.00
_cell_angle_gamma 90.00
_space_group_name_H-M_alt 'F m -3 m'
_space_group_IT_number 225
_space_group_name_Hall '-F 4 2 3'
loop_
_atom_site_label
_atom_site_type_symbol
_atom_site_fract_x
_atom_site_fract_y
_atom_site_fract_z
K1 K 0.000 0.000 0.000
Pb1 Pb 0.000 0.000 0.500
Br1 Br 0.250 0.250 0.250
```

* energy relative to the elements, uncorrected: -0.95 eV/atom
* VASP energy: -31.703 eV per atom


[11]
A plane-wave DFT calculation with meta-GGA SCAN was carried out for KPb3Br at its PBEsol-relaxed geometry.

```
data_KPb3Br
_cell_length_a 5.991
_cell_length_b 5.991
_cell_length_c 5.991
_cell_angle_alpha 90.00
_cell_angle_beta 90.00
_cell_angle_gamma 90.00
_space_group_name_H-M_alt 'P m -3 m'
_space_group_IT_number 221
_space_group_name_Hall '-P 4 2 3'
loop_
_atom_site_label
_atom_site_type_symbol
_atom_site_fract_x
_atom_site_fract_y
_atom_site_fract_z
K1 K 0.000 0.000 0.000
Pb1 Pb 0.000 0.000 0.500
Br1 Br 0.500 0.500 0.500
```

* energy relative to the elements, uncorrected: 0.84 eV/atom
* VASP energy: -50.183 eV per atom


[12]
A plane-wave DFT calculation with meta-GGA SCAN was carried out for K2PbBr at its PBEsol-relaxed geometry.

```
data_K2PbBr
_cell_length_a 4.0093
_cell_length_b 4.0093
_cell_length_c 30.4976
_cell_angle_alpha 90.00
_cell_angle_beta 90.00
_cell_angle_gamma 120.00
_space_group_name_H-M_alt 'R -3 m'
_space_group_IT_number 166
_space_group_name_Hall '-R 3 2"'
loop_
_atom_site_label
_atom_site_type_symbol
_atom_site_fract_x
_atom_site_fract_y
_atom_site_fract_z
K1 K 0.0000 0.0000 0.2371
Pb1 Pb 0.0000 0.0000 0.0000
Br1 Br 0.0000 0.0000 0.5000
```

* energy relative to the elements, uncorrected: -0.91 eV/atom
* VASP energy: -28.882 eV per atom
* energy above the most stable polymorph in this dataset: 0.000 eV/f.u.


[13]
A plane-wave DFT calculation with meta-GGA SCAN was carried out for KRbPb2Br at its PBEsol-relaxed geometry.

```
data_KRbPb2Br
_cell_length_a 6.187
_cell_length_b 6.187
_cell_length_c 7.996
_cell_angle_alpha 90.00
_cell_angle_beta 90.00
_cell_angle_gamma 90.00
_space_group_name_H-M_alt 'P 4/m m m'
_space_group_IT_number 123
_space_group_name_Hall '-P 4 2'
loop_
_atom_site_label
_atom_site_type_symbol
_atom_site_fract_x
_atom_site_fract_y
_atom_site_fract_z
K1 K 0.000 0.000 0.000
Rb1 Rb 0.000 0.000 0.500
Pb1 Pb 0.000 0.500 0.500
Br1 Br 0.500 0.500 0.000
```

* energy relative to the elements, uncorrected: 0.46 eV/atom
* VASP energy: -39.555 eV per atom


[14]
A plane-wave DFT calculation with meta-GGA SCAN was carried out for KPd3Br at its PBEsol-relaxed geometry.

```
data_KPd3Br
_cell_length_a 4.800
_cell_length_b 4.800
_cell_length_c 4.800
_cell_angle_alpha 90.00
_cell_angle_beta 90.00
_cell_angle_gamma 90.00
_space_group_name_H-M_alt 'P m -3 m'
_space_group_IT_number 221
_space_group_name_Hall '-P 4 2 3'
loop_
_atom_site_label
_atom_site_type_symbol
_atom_site_fract_x
_atom_site_fract_y
_atom_site_fract_z
K1 K 0.000 0.000 0.000
Pd1 Pd 0.000 0.500 0.500
Br1 Br 0.500 0.500 0.500
```

* energy relative to the elements, uncorrected: 0.17 eV/atom
* VASP energy: -25.048 eV per atom


[15]
A plane-wave DFT calculation with meta-GGA SCAN was carried out for KPdBr2 at its PBEsol-relaxed geometry.

```
data_KPdBr2
_cell_length_a 4.9675
_cell_length_b 4.9675
_cell_length_c 23.2254
_cell_angle_alpha 90.00
_cell_angle_beta 90.00
_cell_angle_gamma 120.00
_space_group_name_H-M_alt 'R -3 m'
_space_group_IT_number 166
_space_group_name_Hall '-R 3 2"'
loop_
_atom_site_label
_atom_site_type_symbol
_atom_site_fract_x
_atom_site_fract_y
_atom_site_fract_z
K1 K 0.0000 0.0000 0.0000
Pd1 Pd 0.0000 0.0000 0.5000
Br1 Br 0.0000 0.0000 0.3974
```

* energy relative to the elements, uncorrected: -0.71 eV/atom
* VASP energy: -20.719 eV per atom